# ZrPdPb3, relaxed, DFT GGA-PBE
data_ZrPdPb3
_cell_length_a 5.3007
_cell_length_b 5.3007
_cell_length_c 5.3007
_cell_angle_alpha 90.00
_cell_angle_beta 90.00
_cell_angle_gamma 90.00
_symmetry_space_group_name_H-M 'P 1'
_symmetry_Int_Tables_number 1
_symmetry_space_group_name_Hall 'P 1'
loop_
_atom_site_label
_atom_site_fract_x
_atom_site_fract_y
_atom_site_fract_z
Zr1 0.0000 0.0000 0.0000
Pd1 0.5000 0.5000 0.5000
Pb1 0.0000 0.5000 0.5000
Pb2 0.5000 0.0000 0.5000
Pb3 0.5000 0.5000 0.0000
# **Formation energy from the elements**: 0.49 eV per atom
# **Size of the total moment**: 0.25 μB per atom
# **Energy relative to the lowest polymorph listed for this composition**: 0.00 eV/f.u.
# **Density**: 9.134 g/cm³

***

# KSb2P, relaxed, DFT GGA-PBE
data_KSb2P
_cell_length_a 6.2069
_cell_length_b 6.2069
_cell_length_c 3.0511
_cell_angle_alpha 90.00
_cell_angle_beta 90.00
_cell_angle_gamma 116.70
_symmetry_space_group_name_H-M 'P 1'
_symmetry_Int_Tables_number 1
_symmetry_space_group_name_Hall 'P 1'
loop_
_atom_site_label
_atom_site_fract_x
_atom_site_fract_y
_atom_site_fract_z
K1 0.0000 0.0000 0.0000
Sb1 0.0000 0.5000 0.5000
Sb2 0.5000 0.0000 0.5000
P1 0.5000 0.5000 0.0000
# **Size of the total moment**: 0.00 μB per atom
# **Density**: 4.959 g/cm³
# **Energy relative to the elements, uncorrected**: 1.18 eV/f.u.

***

# Pm2Si3Ni4Pd, relaxed, DFT GGA-PBE
data_Pm2Si3Ni4Pd
_cell_length_a 4.0218
_cell_length_b 4.0218
_cell_length_c 9.8907
_cell_angle_alpha 90.00
_cell_angle_beta 90.00
_cell_angle_gamma 90.00
_symmetry_space_group_name_H-M 'P 1'
_symmetry_Int_Tables_number 1
_symmetry_space_group_name_Hall 'P 1'
loop_
_atom_site_label
_atom_site_fract_x
_atom_site_fract_y
_atom_site_fract_z
Pm1 0.0000 0.5000 0.2490
Pm2 0.5000 0.0000 0.7510
Si1 0.0000 0.5000 0.8810
Si2 0.5000 0.0000 0.1190
Si3 0.5000 0.5000 0.5000
Ni1 0.0000 0.0000 0.0000
Ni2 0.0000 0.5000 0.6474
Ni3 0.5000 0.0000 0.3526
Ni4 0.5000 0.5000 0.0000
Pd1 0.0000 0.0000 0.5000
# **Size of the total moment**: 0.00 μB per atom
# **Density**: 7.426 g/cm³
# **Energy relative to the elements, uncorrected**: -7.06 eV/f.u.

***

# BaPmB2S6, relaxed, DFT GGA-PBE
data_BaPmB2S6
_cell_length_a 7.8713
_cell_length_b 7.8713
_cell_length_c 8.7941
_cell_angle_alpha 103.42
_cell_angle_beta 103.42
_cell_angle_gamma 101.16
_symmetry_space_group_name_H-M 'P 1'
_symmetry_Int_Tables_number 1
_symmetry_space_group_name_Hall 'P 1'
loop_
_atom_site_label
_atom_site_fract_x
_atom_site_fract_y
_atom_site_fract_z
Ba1 0.1510 0.8490 0.7500
Ba2 0.8490 0.1510 0.2500
Pm1 0.4238 0.5762 0.2500
Pm2 0.5762 0.4238 0.7500
B1 0.1334 0.3698 0.7275
B2 0.3698 0.1334 0.2275
B3 0.6302 0.8666 0.7725
B4 0.8666 0.6302 0.2725
S1 0.0851 0.5889 0.3376
S2 0.1986 0.2031 0.1001
S3 0.2031 0.1986 0.6001
S4 0.3054 0.5363 0.9026
S5 0.4111 0.9149 0.1624
S6 0.4637 0.6946 0.5974
S7 0.5363 0.3054 0.4026
S8 0.5889 0.0851 0.8376
S9 0.6946 0.4637 0.0974
S10 0.7969 0.8014 0.3999
S11 0.8014 0.7969 0.8999
S12 0.9149 0.4111 0.6624
# **Size of the total moment**: 0.00 μB per atom
# **Density**: 3.313 g/cm³
# **Energy relative to the elements, uncorrected**: -10.74 eV/f.u.

***

# Pr3Dy5Er4, relaxed, DFT GGA-PBE
data_Pr3Dy5Er4
_cell_length_a 6.1872
_cell_length_b 7.1408
_cell_length_c 8.7480
_cell_angle_alpha 90.00
_cell_angle_beta 90.12
_cell_angle_gamma 90.17
_symmetry_space_group_name_H-M 'P 1'
_symmetry_Int_Tables_number 1
_symmetry_space_group_name_Hall 'P 1'
loop_
_atom_site_label
_atom_site_fract_x
_atom_site_fract_y
_atom_site_fract_z
Pr1 0.0000 0.0000 0.0000
Pr2 0.1660 0.7485 0.6653
Pr3 0.8340 0.2515 0.3347
Dy1 0.0000 0.5000 0.0000
Dy2 0.3354 0.0000 0.3332
Dy3 0.4987 0.2521 0.9998
Dy4 0.5013 0.7479 0.0002
Dy5 0.6646 0.0000 0.6668
Er1 0.1691 0.2515 0.6666
Er2 0.3341 0.5005 0.3327
Er3 0.6659 0.4995 0.6673
Er4 0.8309 0.7485 0.3334
# **Formation energy from the elements**: 0.02 eV per atom
# **Size of the total moment**: 0.00 μB per atom
# **Energy relative to the lowest polymorph listed for this composition**: 0.00 eV/f.u.
# **Density**: 8.181 g/cm³

***

# Mg3H3Ir2, relaxed, DFT GGA-PBE
data_Mg3H3Ir2
_cell_length_a 4.6733
_cell_length_b 4.7092
_cell_length_c 5.2098
_cell_angle_alpha 108.69
_cell_angle_beta 90.01
_cell_angle_gamma 119.63
_symmetry_space_group_name_H-M 'P 1'
_symmetry_Int_Tables_number 1
_symmetry_space_group_name_Hall 'P 1'
loop_
_atom_site_label
_atom_site_fract_x
_atom_site_fract_y
_atom_site_fract_z
Mg1 0.0000 0.0000 0.0000
Mg2 0.2537 0.5075 0.6587
Mg3 0.7463 0.4925 0.3413
H1 0.2830 0.9987 0.5008
H2 0.5000 0.0000 0.0000
H3 0.7170 0.0013 0.4992
Ir1 0.3611 0.7234 0.2092
Ir2 0.6389 0.2766 0.7908
# **Size of the total moment**: 0.00 μB per atom
# **Energy relative to the lowest polymorph listed for this composition**: 0.07 eV/f.u.
# **Density**: 8.253 g/cm³

***

# TiGa2Ni2, relaxed, DFT GGA-PBE
data_TiGa2Ni2
_cell_length_a 6.1564
_cell_length_b 6.1564
_cell_length_c 6.1564
_cell_angle_alpha 146.13
_cell_angle_beta 146.13
_cell_angle_gamma 48.66
_symmetry_space_group_name_H-M 'P 1'
_symmetry_Int_Tables_number 1
_symmetry_space_group_name_Hall 'P 1'
loop_
_atom_site_label
_atom_site_fract_x
_atom_site_fract_y
_atom_site_fract_z
Ti1 0.0000 0.0000 0.0000
Ga1 0.2500 0.7500 0.5000
Ga2 0.7500 0.2500 0.5000
Ni1 0.3987 0.3987 0.0000
Ni2 0.6013 0.6013 0.0000
# **Formation energy from the elements**: -0.20 eV per atom
# **Size of the total moment**: 0.00 μB per atom
# **Energy relative to the lowest polymorph listed for this composition**: 1.17 eV/f.u.
# **Density**: 7.011 g/cm³

***

# UCuTe2, relaxed, DFT GGA-PBE
data_UCuTe2
_cell_length_a 8.3278
_cell_length_b 8.3278
_cell_length_c 6.3975
_cell_angle_alpha 90.00
_cell_angle_beta 90.00
_cell_angle_gamma 150.50
_symmetry_space_group_name_H-M 'P 1'
_symmetry_Int_Tables_number 1
_symmetry_space_group_name_Hall 'P 1'
loop_
_atom_site_label
_atom_site_fract_x
_atom_site_fract_y
_atom_site_fract_z
U1 0.1899 0.8101 0.5000
U2 0.8101 0.1899 0.0000
Cu1 0.3957 0.6043 0.3263
Cu2 0.6043 0.3957 0.8263
Te1 0.1673 0.8327 0.0037
Te2 0.4438 0.5562 0.9474
Te3 0.5562 0.4438 0.4474
Te4 0.8327 0.1673 0.5037
# **Size of the total moment**: 0.75 μB per atom
# **Density**: 8.463 g/cm³
# **Energy relative to the elements, uncorrected**: -1.48 eV/f.u.

***

# HfRe3B, relaxed, DFT GGA-PBE
data_HfRe3B
_cell_length_a 4.8054
_cell_length_b 4.8054
_cell_length_c 4.8054
_cell_angle_alpha 90.00
_cell_angle_beta 90.00
_cell_angle_gamma 90.00
_symmetry_space_group_name_H-M 'P 1'
_symmetry_Int_Tables_number 1
_symmetry_space_group_name_Hall 'P 1'
loop_
_atom_site_label
_atom_site_fract_x
_atom_site_fract_y
_atom_site_fract_z
Hf1 0.0000 0.0000 0.0000
Re1 0.0000 0.0000 0.5000
Re2 0.0000 0.5000 0.0000
Re3 0.5000 0.0000 0.0000
B1 0.5000 0.5000 0.5000
# **Formation energy from the elements**: 3.50 eV per atom
# **Size of the total moment**: 0.68 μB per atom
# **Energy relative to the lowest polymorph listed for this composition**: 17.89 eV/f.u.
# **Density**: 11.192 g/cm³

***

# Nd4HI5, relaxed, DFT GGA-PBE
data_Nd4HI5
_cell_length_a 9.6942
_cell_length_b 9.6942
_cell_length_c 9.0247
_cell_angle_alpha 102.77
_cell_angle_beta 102.77
_cell_angle_gamma 24.31
_symmetry_space_group_name_H-M 'P 1'
_symmetry_Int_Tables_number 1
_symmetry_space_group_name_Hall 'P 1'
loop_
_atom_site_label
_atom_site_fract_x
_atom_site_fract_y
_atom_site_fract_z
Nd1 0.0018 0.0018 0.2940
Nd2 0.3663 0.3663 0.4323
Nd3 0.6337 0.6337 0.5677
Nd4 0.9982 0.9982 0.7060
H1 0.5000 0.5000 0.5000
I1 0.1671 0.1671 0.8451
I2 0.1755 0.1755 0.3253
I3 0.5000 0.5000 0.0000
I4 0.8245 0.8245 0.6747
I5 0.8329 0.8329 0.1549
# **Energy**: -0.297 Ry per atom
# **Size of the total moment**: 0.00 μB per atom
# **Density**: 5.919 g/cm³

***

# PmMgRhO4, relaxed, DFT GGA-PBE
data_PmMgRhO4
_cell_length_a 6.3723
_cell_length_b 6.3723
_cell_length_c 6.3723
_cell_angle_alpha 119.20
_cell_angle_beta 116.03
_cell_angle_gamma 94.20
_symmetry_space_group_name_H-M 'P 1'
_symmetry_Int_Tables_number 1
_symmetry_space_group_name_Hall 'P 1'
loop_
_atom_site_label
_atom_site_fract_x
_atom_site_fract_y
_atom_site_fract_z
Pm1 0.0000 0.0000 0.0000
Pm2 0.5000 0.0000 0.5000
Mg1 0.3562 0.6062 0.7500
Mg2 0.6438 0.3938 0.2500
Rh1 0.0000 0.0000 0.5000
Rh2 0.0000 0.5000 0.0000
O1 0.1899 0.7280 0.4619
O2 0.2339 0.2720 0.9619
O3 0.2437 0.2359 0.4922
O4 0.2437 0.7516 0.0078
O5 0.7563 0.2484 0.9922
O6 0.7563 0.7641 0.5078
O7 0.7661 0.7280 0.0381
O8 0.8101 0.2720 0.5381
# **Size of the total moment**: 0.00 μB per atom
# **Density**: 5.913 g/cm³
# **Energy relative to the elements, uncorrected**: -14.63 eV/f.u.

***

# SrAcTlHg, relaxed, DFT GGA-PBE
data_SrAcTlHg
_cell_length_a 5.7636
_cell_length_b 5.7636
_cell_length_c 5.7636
_cell_angle_alpha 60.00
_cell_angle_beta 60.00
_cell_angle_gamma 60.00
_symmetry_space_group_name_H-M 'P 1'
_symmetry_Int_Tables_number 1
_symmetry_space_group_name_Hall 'P 1'
loop_
_atom_site_label
_atom_site_fract_x
_atom_site_fract_y
_atom_site_fract_z
Sr1 0.0000 0.0000 0.0000
Ac1 0.5000 0.5000 0.5000
Tl1 0.2500 0.2500 0.2500
Hg1 0.7500 0.7500 0.7500
# **Formation energy from the elements**: -0.47 eV per atom
# **Size of the total moment**: 0.00 μB per atom
# **Density**: 8.826 g/cm³